The following is a SCAN calculation of a PBEsol-optimized structure of Cr2SiC, from Alexandria. Values from VASP.

Calculated values
energy = -13.931 eV per atom
raw formation energy = 0.290 eV per atom
volume = 10.5 Å³ per atom
symmetry = I-42d, No. 122

```
&SYSTEM
  ibrav = 0, nat = 8, ntyp = 3
/
ATOMIC_SPECIES
Cr 52.00 Cr.upf
C 12.01 C.upf
Si 28.09 Si.upf
CELL_PARAMETERS angstrom
4.3226 0.0000 0.0000
2.1613 4.4095 0.0000
2.1613 0.0000 4.4095
ATOMIC_POSITIONS crystal
Cr 0.2154 0.9096 0.4096
Cr 0.5346 0.0904 0.5904
Cr 0.3750 0.4096 0.0904
Cr 0.8750 0.5904 0.9096
C 0.5000 0.0000 0.0000
C 0.2500 0.5000 0.5000
Si 0.7500 0.5000 0.5000
Si 0.0000 0.0000 0.0000
```

---

The following is a SCAN calculation of a PBEsol-optimized structure of CrSiC3, from Alexandria. Values from VASP.

Calculated values
energy = -9.935 eV per atom
raw formation energy = 1.805 eV per atom
volume = 10.1 Å³ per atom
symmetry = Pm-3m, No. 221

```
&SYSTEM
  ibrav = 0, nat = 5, ntyp = 3
/
ATOMIC_SPECIES
C 12.01 C.upf
Cr 52.00 Cr.upf
Si 28.09 Si.upf
CELL_PARAMETERS angstrom
-0.7907 -3.6091 -0.1848
2.5930 -0.6984 2.5443
-2.5171 0.4142 2.6791
ATOMIC_POSITIONS crystal
C 0.0000 0.0000 0.5000
C 0.0000 0.5000 0.0000
C 0.5000 0.0000 0.0000
Cr 0.5000 0.5000 0.5000
Si 0.0000 0.0000 0.0000
```

---

The following is a SCAN calculation of a PBEsol-optimized structure of SmCr2Si2C, from Alexandria. Values from VASP.

Calculated values
energy = -19.048 eV per atom
raw formation energy = -0.491 eV per atom
volume = 13.6 Å³ per atom
symmetry = P4/mmm, No. 123

```
&SYSTEM
  ibrav = 0, nat = 6, ntyp = 4
/
ATOMIC_SPECIES
Si 28.09 Si.upf
Cr 52.00 Cr.upf
Sm 150.36 Sm.upf
C 12.01 C.upf
CELL_PARAMETERS angstrom
3.9339 0.0000 0.0000
0.0000 3.9339 0.0000
0.0000 0.0000 5.2594
ATOMIC_POSITIONS crystal
Si 0.5000 0.5000 0.2681
Si 0.5000 0.5000 0.7319
Cr 0.0000 0.5000 0.0000
Cr 0.5000 0.0000 0.0000
Sm 0.0000 0.0000 0.5000
C 0.0000 0.0000 0.0000
```

---

The following is a SCAN calculation of a PBEsol-optimized structure of YCrSiC2, from Alexandria. Values from VASP.

Calculated values
energy = -12.768 eV per atom
raw formation energy = 2.521 eV per atom
volume = 20.0 Å³ per atom
symmetry = P4/mmm, No. 123

```
&SYSTEM
  ibrav = 0, nat = 5, ntyp = 4
/
ATOMIC_SPECIES
Y 88.91 Y.upf
C 12.01 C.upf
Cr 52.00 Cr.upf
Si 28.09 Si.upf
CELL_PARAMETERS angstrom
-1.2786 -3.1017 -2.7346
3.9507 -0.0712 -1.7664
1.5070 -3.7251 3.5206
ATOMIC_POSITIONS crystal
Y 0.0000 0.0000 0.0000
C 0.5000 0.0000 0.0000
C 0.0000 0.5000 0.0000
Cr 0.0000 0.0000 0.5000
Si 0.5000 0.5000 0.5000
```

---

The following is a SCAN calculation of a PBEsol-optimized structure of Cr2SnC, from Alexandria. Values from VASP.

Calculated values
energy = -19.269 eV per atom
volume = 12.3 Å³ per atom
energy of formation from the pure elements = 1.4289 eV/atom
symmetry = Fm-3m, No. 225

```
&SYSTEM
  ibrav = 0, nat = 4, ntyp = 3
/
ATOMIC_SPECIES
Cr 52.00 Cr.upf
C 12.01 C.upf
Sn 118.71 Sn.upf
CELL_PARAMETERS angstrom
4.1184 0.0000 0.0000
2.0592 3.5666 0.0000
2.0592 1.1889 3.3626
ATOMIC_POSITIONS crystal
Cr 0.2500 0.2500 0.2500
Cr 0.7500 0.7500 0.7500
C 0.0000 0.0000 0.0000
Sn 0.5000 0.5000 0.5000
```

---

The following is a SCAN calculation of a PBEsol-optimized structure of CrTcC3, from Alexandria. Values from VASP.

Calculated values
energy = -14.805 eV per atom
volume = 10.3 Å³ per atom
energy of formation from the pure elements = 1.9440 eV/atom
symmetry = Pm-3m, No. 221

```
&SYSTEM
  ibrav = 0, nat = 5, ntyp = 3
/
ATOMIC_SPECIES
C 12.01 C.upf
Cr 52.00 Cr.upf
Tc 98.00 Tc.upf
CELL_PARAMETERS angstrom
3.7162 0.0000 0.0000
0.0000 3.7162 0.0000
0.0000 0.0000 3.7162
ATOMIC_POSITIONS crystal
C 0.0000 0.0000 0.5000
C 0.5000 0.0000 0.0000
C 0.0000 0.5000 0.0000
Cr 0.0000 0.0000 0.0000
Tc 0.5000 0.5000 0.5000
```

---

The following is a SCAN calculation of a PBEsol-optimized structure of YCr2TcC, from Alexandria. Values from VASP.

Calculated values
energy = -21.897 eV per atom
volume = 13.7 Å³ per atom
energy of formation from the pure elements = 0.0571 eV/atom
symmetry = P4/mmm, No. 123

```
&SYSTEM
  ibrav = 0, nat = 5, ntyp = 4
/
ATOMIC_SPECIES
Cr 52.00 Cr.upf
Tc 98.00 Tc.upf
C 12.01 C.upf
Y 88.91 Y.upf
CELL_PARAMETERS angstrom
4.0473 0.0000 0.0000
0.0000 4.0473 0.0000
0.0000 0.0000 4.1749
ATOMIC_POSITIONS crystal
Cr 0.5000 0.0000 0.0000
Cr 0.0000 0.5000 0.0000
Tc 0.0000 0.0000 0.5000
C 0.0000 0.0000 0.0000
Y 0.5000 0.5000 0.5000
```

---

The following is a SCAN calculation of a PBEsol-optimized structure of CrTeC3, from Alexandria. Values from VASP.

Calculated values
energy = -15.131 eV per atom
raw formation energy = 2.056 eV per atom
volume = 11.7 Å³ per atom
symmetry = Pm-3m, No. 221

```
&SYSTEM
  ibrav = 0, nat = 5, ntyp = 3
/
ATOMIC_SPECIES
Te 127.60 Te.upf
Cr 52.00 Cr.upf
C 12.01 C.upf
CELL_PARAMETERS angstrom
3.8873 0.0000 0.0000
0.0000 3.8873 0.0000
0.0000 0.0000 3.8873
ATOMIC_POSITIONS crystal
Te 0.5000 0.5000 0.5000
Cr 0.0000 0.0000 0.0000
C 0.5000 0.0000 0.0000
C 0.0000 0.0000 0.5000
C 0.0000 0.5000 0.0000
```

---

The following is a SCAN calculation of a PBEsol-optimized structure of TiCrTeC2, from Alexandria. Values from VASP.

Calculated values
energy = -17.146 eV per atom
raw formation energy = 1.227 eV per atom
volume = 17.4 Å³ per atom
symmetry = P4/mmm, No. 123

```
&SYSTEM
  ibrav = 0, nat = 5, ntyp = 4
/
ATOMIC_SPECIES
Cr 52.00 Cr.upf
Te 127.60 Te.upf
C 12.01 C.upf
Ti 47.87 Ti.upf
CELL_PARAMETERS angstrom
-1.2801 3.6534 -0.8883
-3.7598 -1.2430 0.3061
0.0050 1.3056 5.3622
ATOMIC_POSITIONS crystal
Cr 0.5000 0.5000 0.5000
Te 0.0000 0.0000 0.5000
C 0.0000 0.5000 0.0000
C 0.5000 0.0000 0.0000
Ti 0.0000 0.0000 0.0000
```

---

The following is a SCAN calculation of a PBEsol-optimized structure of Ti4CrC5, from Alexandria. Values from VASP.

Calculated values
energy = -14.039 eV per atom
volume = 9.5 Å³ per atom
energy of formation from the pure elements = -0.7390 eV/atom
symmetry = R-3m, No. 166

```
&SYSTEM
  ibrav = 0, nat = 10, ntyp = 3
/
ATOMIC_SPECIES
C 12.01 C.upf
Ti 47.87 Ti.upf
Cr 52.00 Cr.upf
CELL_PARAMETERS angstrom
-0.2431 -0.1723 2.9819
-2.3472 -1.3960 1.2338
5.3591 -11.0755 1.3027
ATOMIC_POSITIONS crystal
C 0.5000 0.5000 0.5000
C 0.3033 0.3033 0.0902
C 0.9017 0.9017 0.2949
C 0.0983 0.0983 0.7051
C 0.6967 0.6967 0.9098
Ti 0.2007 0.2007 0.3980
Ti 0.7993 0.7993 0.6020
Ti 0.6022 0.6022 0.1933
Ti 0.3978 0.3978 0.8067
Cr 0.0000 0.0000 0.0000
```

---

The following is a SCAN calculation of a PBEsol-optimized structure of TiCrC2, from Alexandria. Values from VASP.

Calculated values
energy = -13.169 eV per atom
volume = 8.6 Å³ per atom
energy of formation from the pure elements = 0.4842 eV/atom
symmetry = Fm-3m, No. 225

```
&SYSTEM
  ibrav = 0, nat = 4, ntyp = 3
/
ATOMIC_SPECIES
C 12.01 C.upf
Ti 47.87 Ti.upf
Cr 52.00 Cr.upf
CELL_PARAMETERS angstrom
-2.2251 1.8859 2.2000
-2.8353 -1.6647 1.5929
0.0335 -0.6213 3.6000
ATOMIC_POSITIONS crystal
C 0.7500 0.7500 0.7500
C 0.2500 0.2500 0.2500
Ti 0.0000 0.0000 0.0000
Cr 0.5000 0.5000 0.5000
```

---

The following is a SCAN calculation of a PBEsol-optimized structure of YTiCr2C, from Alexandria. Values from VASP.

Calculated values
energy = -16.105 eV per atom
volume = 18.2 Å³ per atom
energy of formation from the pure elements = 2.0429 eV/atom
symmetry = P4/mmm, No. 123

```
&SYSTEM
  ibrav = 0, nat = 5, ntyp = 4
/
ATOMIC_SPECIES
Cr 52.00 Cr.upf
C 12.01 C.upf
Ti 47.87 Ti.upf
Y 88.91 Y.upf
CELL_PARAMETERS angstrom
-4.0013 -0.1751 -0.4724
0.0235 -3.8424 1.2247
-0.6974 1.6800 5.2840
ATOMIC_POSITIONS crystal
Cr 0.0000 0.5000 0.0000
Cr 0.5000 0.0000 0.0000
C 0.5000 0.5000 0.5000
Ti 0.0000 0.0000 0.0000
Y 0.0000 0.0000 0.5000
```

---

The following is a SCAN calculation of a PBEsol-optimized structure of VCrC, from Alexandria. Values from VASP.

Calculated values
energy = -15.666 eV per atom
volume = 10.0 Å³ per atom
energy of formation from the pure elements = -0.3416 eV/atom
symmetry = P2_12_12, No. 18

```
&SYSTEM
  ibrav = 0, nat = 12, ntyp = 3
/
ATOMIC_SPECIES
C 12.01 C.upf
Cr 52.00 Cr.upf
V 50.94 V.upf
CELL_PARAMETERS angstrom
-2.2897 1.6497 3.3538
-3.5255 -3.2988 -0.7843
2.5546 -3.5612 3.4958
ATOMIC_POSITIONS crystal
C 0.5000 0.5000 0.3712
C 0.5000 0.0000 0.1175
C 0.0000 0.5000 0.8825
C 0.0000 0.0000 0.6288
Cr 0.2531 0.8267 0.8695
Cr 0.7531 0.6733 0.1305
Cr 0.7469 0.1733 0.8695
Cr 0.2469 0.3267 0.1305
V 0.7678 0.1764 0.3605
V 0.7322 0.6764 0.6395
V 0.2322 0.8236 0.3605
V 0.2678 0.3236 0.6395
```

---

The following is a SCAN calculation of a PBEsol-optimized structure of Cr22WC6, from Alexandria. Values from VASP.

Calculated values
energy = -18.462 eV per atom
volume = 9.9 Å³ per atom
energy of formation from the pure elements = -0.0228 eV/atom
symmetry = Fm-3m, No. 225

```
&SYSTEM
  ibrav = 0, nat = 29, ntyp = 3
/
ATOMIC_SPECIES
Cr 52.00 Cr.upf
C 12.01 C.upf
W 183.84 W.upf
CELL_PARAMETERS angstrom
7.4122 0.0000 0.0000
3.7061 6.4192 0.0000
3.7061 2.1397 6.0520
ATOMIC_POSITIONS crystal
Cr 0.2500 0.2500 0.2500
Cr 0.6540 0.3460 0.0000
Cr 0.3460 0.6540 0.0000
Cr 0.3460 0.0000 0.6540
Cr 0.6186 0.6186 0.1442
Cr 0.6540 0.0000 0.3460
Cr 0.6540 0.0000 0.0000
Cr 0.0000 0.6540 0.3460
Cr 0.3814 0.3814 0.3814
Cr 0.7500 0.7500 0.7500
Cr 0.0000 0.6540 0.0000
Cr 0.3814 0.3814 0.8558
Cr 0.0000 0.0000 0.6540
Cr 0.3460 0.0000 0.0000
Cr 0.1442 0.6186 0.6186
Cr 0.6186 0.1442 0.6186
Cr 0.0000 0.3460 0.0000
Cr 0.0000 0.3460 0.6540
Cr 0.0000 0.0000 0.3460
Cr 0.3814 0.8558 0.3814
Cr 0.6186 0.6186 0.6186
Cr 0.8558 0.3814 0.3814
C 0.2762 0.7238 0.2762
C 0.2762 0.2762 0.7238
C 0.2762 0.7238 0.7238
C 0.7238 0.7238 0.2762
C 0.7238 0.2762 0.7238
C 0.7238 0.2762 0.2762
W 0.0000 0.0000 0.0000
```

---

The following is a SCAN calculation of a PBEsol-optimized structure of Y2Cr2C3, from Alexandria. Values from VASP.

Calculated values
energy = -17.934 eV per atom
volume = 13.1 Å³ per atom
energy of formation from the pure elements = -0.3972 eV/atom
symmetry = C2/m, No. 12

```
&SYSTEM
  ibrav = 0, nat = 7, ntyp = 3
/
ATOMIC_SPECIES
C 12.01 C.upf
Cr 52.00 Cr.upf
Y 88.91 Y.upf
CELL_PARAMETERS angstrom
3.3570 0.0000 0.0000
-1.6785 5.1424 -0.0058
0.0000 -1.4970 5.3005
ATOMIC_POSITIONS crystal
C 0.2867 0.5735 0.2281
C 0.0000 0.0000 0.0000
C 0.7133 0.4265 0.7719
Cr 0.1572 0.3144 0.8903
Cr 0.8428 0.6856 0.1097
Y 0.6052 0.2104 0.3169
Y 0.3948 0.7896 0.6831
```

---

The following is a SCAN calculation of a PBEsol-optimized structure of Y3CrC, from Alexandria. Values from VASP.

Calculated values
energy = -20.902 eV per atom
volume = 23.0 Å³ per atom
energy of formation from the pure elements = 1.5003 eV/atom
symmetry = Pm-3m, No. 221

```
&SYSTEM
  ibrav = 0, nat = 5, ntyp = 3
/
ATOMIC_SPECIES
Y 88.91 Y.upf
C 12.01 C.upf
Cr 52.00 Cr.upf
CELL_PARAMETERS angstrom
-0.9843 3.1298 3.5912
3.4598 -2.0510 2.7357
3.2744 3.1079 -1.8112
ATOMIC_POSITIONS crystal
Y 0.0000 0.0000 0.5000
Y 0.5000 0.0000 0.0000
Y 0.0000 0.5000 0.0000
C 0.5000 0.5000 0.5000
Cr 0.0000 0.0000 0.0000
```

---

The following is a SCAN calculation of a PBEsol-optimized structure of CsEr6CI12, from Alexandria. Values from VASP.

Calculated values
energy = -40.918 eV per atom
raw formation energy = -1.376 eV per atom
volume = 34.7 Å³ per atom
symmetry = R-3, No. 148

```
&SYSTEM
  ibrav = 0, nat = 20, ntyp = 4
/
ATOMIC_SPECIES
I 126.90 I.upf
Er 167.26 Er.upf
C 12.01 C.upf
Cs 132.91 Cs.upf
CELL_PARAMETERS angstrom
-8.1189 -3.9983 1.6823
1.7389 -8.5879 2.8208
-1.1167 -0.1321 9.1361
ATOMIC_POSITIONS crystal
I 0.4281 0.8523 0.7148
I 0.8523 0.7148 0.4281
I 0.1477 0.2852 0.5719
I 0.0692 0.6343 0.7819
I 0.6343 0.7819 0.0692
I 0.3657 0.2181 0.9308
I 0.9308 0.3657 0.2181
I 0.2852 0.5719 0.1477
I 0.7148 0.4281 0.8523
I 0.7819 0.0692 0.6343
I 0.5719 0.1477 0.2852
I 0.2181 0.9308 0.3657
Er 0.9696 0.7281 0.0902
Er 0.9098 0.0304 0.2719
Er 0.0902 0.9696 0.7281
Er 0.7281 0.0902 0.9696
Er 0.0304 0.2719 0.9098
Er 0.2719 0.9098 0.0304
C 0.0000 0.0000 0.0000
Cs 0.5000 0.5000 0.5000
```

---

The following is a SCAN calculation of a PBEsol-optimized structure of CsEr10C4I18, from Alexandria. Values from VASP.

Calculated values
energy = -39.019 eV per atom
raw formation energy = -1.354 eV per atom
volume = 32.3 Å³ per atom
symmetry = P-1, No. 2

```
&SYSTEM
  ibrav = 0, nat = 33, ntyp = 4
/
ATOMIC_SPECIES
Er 167.26 Er.upf
I 126.90 I.upf
C 12.01 C.upf
Cs 132.91 Cs.upf
CELL_PARAMETERS angstrom
-5.1647 8.0273 5.4634
3.7301 -8.9288 5.4674
8.5193 6.5879 -2.7915
ATOMIC_POSITIONS crystal
Er 0.7012 0.6077 0.7077
Er 0.2988 0.3923 0.2923
Er 0.9266 0.9652 0.6748
Er 0.0472 0.7237 0.7101
Er 0.0734 0.0348 0.3252
Er 0.9254 0.6467 0.9878
Er 0.1619 0.0560 0.9992
Er 0.8381 0.9440 0.0008
Er 0.9528 0.2763 0.2899
Er 0.0746 0.3533 0.0122
I 0.3683 0.3010 0.5051
I 0.2246 0.2466 0.8290
I 0.5204 0.6872 0.8459
I 0.7720 0.0950 0.8292
I 0.6317 0.6990 0.4949
I 0.6359 0.3744 0.8182
I 0.7754 0.7534 0.1710
I 0.4796 0.3128 0.1541
I 0.7897 0.4295 0.4957
I 0.0784 0.8530 0.4979
I 0.3641 0.6256 0.1818
I 0.9216 0.1470 0.5021
I 0.9170 0.4720 0.1704
I 0.6501 0.0387 0.1579
I 0.0830 0.5280 0.8296
I 0.2280 0.9050 0.1708
I 0.2103 0.5705 0.5043
I 0.3499 0.9613 0.8421
C 0.9325 0.8584 0.8029
C 0.9325 0.7802 0.8814
C 0.0675 0.1416 0.1971
C 0.0675 0.2198 0.1186
Cs 0.5000 0.0000 0.5000
```

---

The following is a SCAN calculation of a PBEsol-optimized structure of CsCOF3, from Alexandria. Values from VASP.

Calculated values
energy = -12.905 eV per atom
raw formation energy = -2.112 eV per atom
volume = 17.8 Å³ per atom
symmetry = P2_1/c, No. 14

```
&SYSTEM
  ibrav = 0, nat = 24, ntyp = 4
/
ATOMIC_SPECIES
C 12.01 C.upf
Cs 132.91 Cs.upf
O 16.00 O.upf
F 19.00 F.upf
CELL_PARAMETERS angstrom
5.8977 0.0000 -0.0059
0.0000 7.6977 0.0000
-0.1393 0.0000 9.3919
ATOMIC_POSITIONS crystal
C 0.7377 0.2934 0.5682
C 0.2623 0.7934 0.9318
C 0.7377 0.2066 0.0682
C 0.2623 0.7066 0.4318
Cs 0.2718 0.1582 0.3213
Cs 0.7282 0.6582 0.1787
Cs 0.7282 0.8418 0.6787
Cs 0.2718 0.3418 0.8213
O 0.4345 0.7056 0.9148
O 0.5655 0.2056 0.5852
O 0.5655 0.2944 0.0852
O 0.4345 0.7944 0.4148
F 0.7748 0.4326 0.6664
F 0.0487 0.7988 0.4185
F 0.9513 0.2012 0.5815
F 0.7618 0.1243 0.9347
F 0.2382 0.6243 0.5653
F 0.2252 0.5674 0.3336
F 0.2252 0.9326 0.8336
F 0.2382 0.8757 0.0653
F 0.7748 0.0674 0.1664
F 0.7618 0.3757 0.4347
F 0.0487 0.7012 0.9185
F 0.9513 0.2988 0.0815
```

---

The following is a SCAN calculation of a PBEsol-optimized structure of CsZrCF2, from Alexandria. Values from VASP.

Calculated values
energy = -17.780 eV per atom
raw formation energy = -0.642 eV per atom
volume = 29.1 Å³ per atom
symmetry = P4/mmm, No. 123

```
&SYSTEM
  ibrav = 0, nat = 5, ntyp = 4
/
ATOMIC_SPECIES
Zr 91.22 Zr.upf
F 19.00 F.upf
C 12.01 C.upf
Cs 132.91 Cs.upf
CELL_PARAMETERS angstrom
4.2276 0.0000 0.0000
0.0000 4.2276 0.0000
0.0000 0.0000 8.1439
ATOMIC_POSITIONS crystal
Zr 0.0000 0.0000 0.0000
F 0.5000 0.0000 0.0000
F 0.0000 0.5000 0.0000
C 0.5000 0.5000 0.5000
Cs 0.0000 0.0000 0.5000
```

---

The following is a SCAN calculation of a PBEsol-optimized structure of CsLiFeC2, from Alexandria. Values from VASP.

Calculated values
energy = -14.578 eV per atom
volume = 13.9 Å³ per atom
energy of formation from the pure elements = 1.1276 eV/atom
symmetry = P4/mmm, No. 123

```
&SYSTEM
  ibrav = 0, nat = 5, ntyp = 4
/
ATOMIC_SPECIES
Li 6.94 Li.upf
Cs 132.91 Cs.upf
Fe 55.84 Fe.upf
C 12.01 C.upf
CELL_PARAMETERS angstrom
3.7308 0.0000 0.0000
0.0000 3.7308 0.0000
0.0000 0.0000 5.0049
ATOMIC_POSITIONS crystal
Li 0.0000 0.0000 0.5000
Cs 0.5000 0.5000 0.5000
Fe 0.0000 0.0000 0.0000
C 0.0000 0.5000 0.0000
C 0.5000 0.0000 0.0000
```